No. 1
ScNbMoRu: relaxed, PBE.

a b c (Å): 6.447 6.447 6.447
angles (deg): 90.00 90.00 90.00
Space group F-43m (No. 216)
Unique sites:
Sc (0.000, 0.000, 0.000) [4 per cell]
Nb (0.000, 0.000, 0.500) [4 per cell]
Mo (0.250, 0.250, 0.250) [4 per cell]
Ru (0.250, 0.250, 0.750) [4 per cell]

Total magnetization = 0.00 μB per cell
Formation energy = -0.177 eV per atom
Crystal system = cubic
Total DFT energy (no corrections) = -9.304 eV/atom

No. 2
Sc2NbMoRu: relaxed, PBE.

a b c (Å): 4.970 4.970 4.620
angles (deg): 90.00 90.00 90.00
Space group P4/mmm (No. 123)
Unique sites:
Sc (0.000, 0.500, 0.000) [2 per cell]
Nb (0.000, 0.000, 0.000) [1 per cell]
Mo (0.500, 0.500, 0.500) [1 per cell]
Ru (0.000, 0.000, 0.500) [1 per cell]

Total magnetization = 2.77 μB per cell
Formation energy = 1.257 eV per atom
Crystal system = tetragonal
Total DFT energy (no corrections) = -7.311 eV/atom

No. 3
NbSiMoRu: relaxed, PBE.

a b c (Å): 6.212 6.212 6.212
angles (deg): 90.00 90.00 90.00
Space group F-43m (No. 216)
Unique sites:
Nb (0.000, 0.000, 0.000) [4 per cell]
Si (0.000, 0.000, 0.500) [4 per cell]
Mo (0.250, 0.250, 0.750) [4 per cell]
Ru (0.250, 0.250, 0.250) [4 per cell]

Total magnetization = 0.00 μB per cell
Crystal system = cubic
Formation energy without anion corrections = -6.9 kcal/mol of atoms
Total DFT energy (no corrections) = -9.199 eV/atom

No. 4
NbTcMoRu: relaxed, PBE.

a b c (Å): 6.306 6.306 6.306
angles (deg): 90.00 90.00 90.00
Space group F-43m (No. 216)
Unique sites:
Nb (0.000, 0.000, 0.000) [4 per cell]
Tc (0.250, 0.250, 0.250) [4 per cell]
Mo (0.000, 0.000, 0.500) [4 per cell]
Ru (0.250, 0.250, 0.750) [4 per cell]

Total magnetization = 0.00 μB per cell
Formation energy = -0.009 eV per atom
Crystal system = cubic
Total DFT energy (no corrections) = -10.145 eV/atom

No. 5
NbTeMoRu2: relaxed, PBE.

a b c (Å): 4.703 4.703 5.021
angles (deg): 90.00 90.00 90.00
Space group P4/mmm (No. 123)
Unique sites:
Nb (0.000, 0.000, 0.000) [1 per cell]
Te (0.000, 0.000, 0.500) [1 per cell]
Mo (0.500, 0.500, 0.000) [1 per cell]
Ru (0.000, 0.500, 0.500) [2 per cell]

Total magnetization = 0.94 μB per cell
Crystal system = tetragonal
Formation energy without anion corrections = 40.9 kcal/mol of atoms
Total DFT energy (no corrections) = -6.747 eV/atom

No. 6
TiNbMoRu: relaxed, PBE.

a b c (Å): 6.325 6.325 6.325
angles (deg): 90.00 90.00 90.00
Space group F-43m (No. 216)
Unique sites:
Ti (0.000, 0.000, 0.000) [4 per cell]
Nb (0.000, 0.000, 0.500) [4 per cell]
Mo (0.250, 0.250, 0.750) [4 per cell]
Ru (0.250, 0.250, 0.250) [4 per cell]

Energy above the lowest structure with this stoichiometry = 0.000 eV/atom
Total magnetization = 0.00 μB per cell
Formation energy = -0.359 eV per atom
Crystal system = cubic
Total DFT energy (no corrections) = -9.877 eV/atom

No. 7
TiNbMoRu: relaxed, PBE.

a b c (Å): 3.163 3.163 6.354
angles (deg): 90.00 90.00 90.00
Space group P4mm (No. 99)
Unique sites:
Ti (0.000, 0.000, 0.000) [1 per cell]
Nb (0.000, 0.000, 0.501) [1 per cell]
Mo (0.500, 0.500, 0.247) [1 per cell]
Ru (0.500, 0.500, 0.755) [1 per cell]

Energy above the lowest structure with this stoichiometry = 0.013 eV/atom
Total magnetization = 0.00 μB per cell
Formation energy = -0.346 eV per atom
Crystal system = tetragonal
Total DFT energy (no corrections) = -9.864 eV/atom

No. 8
TmNbMoRu: relaxed, PBE.

a b c (Å): 6.573 6.573 6.573
angles (deg): 90.00 90.00 90.00
Space group F-43m (No. 216)
Unique sites:
Tm (0.000, 0.000, 0.000) [4 per cell]
Nb (0.000, 0.000, 0.500) [4 per cell]
Mo (0.250, 0.250, 0.750) [4 per cell]
Ru (0.250, 0.250, 0.250) [4 per cell]

Total magnetization = 0.00 μB per cell
Formation energy = -0.042 eV per atom
Crystal system = cubic
Total DFT energy (no corrections) = -8.704 eV/atom

No. 9
UNbMoRu: relaxed, PBE.

a b c (Å): 6.580 6.580 6.580
angles (deg): 90.00 90.00 90.00
Space group F-43m (No. 216)
Unique sites:
U (0.000, 0.000, 0.000) [4 per cell]
Nb (0.000, 0.000, 0.500) [4 per cell]
Mo (0.250, 0.250, 0.750) [4 per cell]
Ru (0.250, 0.250, 0.250) [4 per cell]

Total magnetization = 6.22 μB per cell
Formation energy = -0.008 eV per atom
Crystal system = cubic
Total DFT energy (no corrections) = -10.374 eV/atom

No. 10
NbVMoRu: relaxed, PBE.

a b c (Å): 6.253 6.253 6.253
angles (deg): 90.00 90.00 90.00
Space group F-43m (No. 216)
Unique sites:
Nb (0.000, 0.000, 0.000) [4 per cell]
V (0.000, 0.000, 0.500) [4 per cell]
Mo (0.250, 0.250, 0.250) [4 per cell]
Ru (0.250, 0.250, 0.750) [4 per cell]

Energy above the lowest structure with this stoichiometry = 0.000 eV/atom
Total magnetization = 0.00 μB per cell
Formation energy = -0.219 eV per atom
Crystal system = cubic
Total DFT energy (no corrections) = -10.043 eV/atom

No. 11
Nb2VMoRu: relaxed, PBE.

a b c (Å): 4.764 4.764 4.596
angles (deg): 90.00 90.00 90.00
Space group P4/mmm (No. 123)
Unique sites:
Nb (0.000, 0.500, 0.000) [2 per cell]
V (0.000, 0.000, 0.500) [1 per cell]
Mo (0.500, 0.500, 0.000) [1 per cell]
Ru (0.500, 0.500, 0.500) [1 per cell]

Total magnetization = 0.00 μB per cell
Formation energy = 1.529 eV per atom
Crystal system = tetragonal
Total DFT energy (no corrections) = -8.344 eV/atom

No. 12
NbVMoRu: relaxed, PBE.

a b c (Å): 3.128 3.128 6.278
angles (deg): 90.00 90.00 90.00
Space group P4mm (No. 99)
Unique sites:
Nb (0.000, 0.000, 0.000) [1 per cell]
V (0.000, 0.000, 0.506) [1 per cell]
Mo (0.500, 0.500, 0.735) [1 per cell]
Ru (0.500, 0.500, 0.258) [1 per cell]

Energy above the lowest structure with this stoichiometry = 0.006 eV/atom
Total magnetization = 0.00 μB per cell
Formation energy = -0.212 eV per atom
Crystal system = tetragonal
Total DFT energy (no corrections) = -10.036 eV/atom

No. 13
ZrNbMoRu: relaxed, PBE.

a b c (Å): 3.249 3.249 6.561
angles (deg): 90.00 90.00 90.00
Space group P4mm (No. 99)
Unique sites:
Zr (0.000, 0.000, 0.000) [1 per cell]
Nb (0.000, 0.000, 0.499) [1 per cell]
Mo (0.500, 0.500, 0.737) [1 per cell]
Ru (0.500, 0.500, 0.257) [1 per cell]

Energy above the lowest structure with this stoichiometry = 0.004 eV/atom
Total magnetization = 0.00 μB per cell
Formation energy = -0.276 eV per atom
Crystal system = tetragonal
Total DFT energy (no corrections) = -9.957 eV/atom

No. 14
ZrNbMoRu: relaxed, PBE.

a b c (Å): 6.501 6.501 6.501
angles (deg): 90.00 90.00 90.00
Space group F-43m (No. 216)
Unique sites:
Zr (0.000, 0.000, 0.000) [4 per cell]
Nb (0.000, 0.000, 0.500) [4 per cell]
Mo (0.250, 0.250, 0.750) [4 per cell]
Ru (0.250, 0.250, 0.250) [4 per cell]

Energy above the lowest structure with this stoichiometry = 0.000 eV/atom
Total magnetization = 0.00 μB per cell
Formation energy = -0.280 eV per atom
Crystal system = cubic
Total DFT energy (no corrections) = -9.961 eV/atom

No. 15
NbMo2S4: relaxed, PBE.

a b c (Å): 3.273 11.534 12.190
angles (deg): 90.00 90.00 90.00
Space group Cmcm (No. 63)
Unique sites:
Nb (0.000, 0.105, 0.250) [4 per cell]
Mo (0.000, 0.330, 0.071) [8 per cell]
S (0.000, 0.000, 0.000) [4 per cell]
S (0.000, 0.310, 0.619) [8 per cell]
S (0.000, 0.436, 0.250) [4 per cell]

Total magnetization = 0.00 μB per cell
Crystal system = orthorhombic
Formation energy without anion corrections = -10.6 kcal/mol of atoms
Total DFT energy (no corrections) = -7.351 eV/atom

No. 16
NbMoS2: relaxed, PBE.

a b c (Å): 4.570 4.570 14.005
angles (deg): 90.00 90.00 90.00
Space group I-42d (No. 122)
Unique sites:
Nb (0.000, 0.000, 0.000) [4 per cell]
Mo (0.000, 0.000, 0.500) [4 per cell]
S (0.237, 0.250, 0.625) [8 per cell]

Energy above the lowest structure with this stoichiometry = 0.310 eV/atom
Total magnetization = 0.00 μB per cell
Crystal system = tetragonal
Formation energy without anion corrections = -6.4 kcal/mol of atoms
Total DFT energy (no corrections) = -7.569 eV/atom

No. 17
Nb3MoS: relaxed, PBE.

a b c (Å): 6.679 3.271 7.733
angles (deg): 90.00 97.18 90.00
Space group P2_1/m (No. 11)
Unique sites:
Nb (0.158, 0.250, 0.085) [2 per cell]
Nb (0.312, 0.250, 0.488) [2 per cell]
Nb (0.337, 0.750, 0.835) [2 per cell]
Mo (0.009, 0.250, 0.670) [2 per cell]
S (0.395, 0.750, 0.246) [2 per cell]

Energy above the lowest structure with this stoichiometry = 0.000 eV/atom
Total magnetization = 0.00 μB per cell
Crystal system = monoclinic
Formation energy without anion corrections = -6.3 kcal/mol of atoms
Total DFT energy (no corrections) = -9.306 eV/atom

No. 18
Nb2MoS: relaxed, PBE.

a b c (Å): 3.871 3.871 18.548
angles (deg): 90.00 90.00 90.00
Space group I-42d (No. 122)
Unique sites:
Nb (0.236, 0.250, 0.125) [8 per cell]
Mo (0.000, 0.000, 0.500) [4 per cell]
S (0.000, 0.000, 0.000) [4 per cell]

Total magnetization = 0.00 μB per cell
Crystal system = tetragonal
Formation energy without anion corrections = 9.8 kcal/mol of atoms
Total DFT energy (no corrections) = -8.350 eV/atom

No. 19
NbMoS2: relaxed, PBE.

a b c (Å): 6.791 3.180 12.332
angles (deg): 90.00 90.00 90.00
Space group Pnma (No. 62)
Unique sites:
Nb (0.240, 0.250, 0.190) [4 per cell]
Mo (0.088, 0.750, 0.370) [4 per cell]
S (0.069, 0.250, 0.810) [4 per cell]
S (0.207, 0.250, 0.513) [4 per cell]

Energy above the lowest structure with this stoichiometry = 0.000 eV/atom
Total magnetization = 0.00 μB per cell
Crystal system = orthorhombic
Formation energy without anion corrections = -13.6 kcal/mol of atoms
Total DFT energy (no corrections) = -7.878 eV/atom

No. 20
NbMoS3: relaxed, PBE.

a b c (Å): 4.792 4.792 4.792
angles (deg): 90.00 90.00 90.00
Space group Pm-3m (No. 221)
Unique sites:
Nb (0.000, 0.000, 0.000) [1 per cell]
Mo (0.500, 0.500, 0.500) [1 per cell]
S (0.000, 0.000, 0.500) [3 per cell]

Energy above the lowest structure with this stoichiometry = 1.237 eV/atom
Total magnetization = 4.54 μB per cell
Crystal system = cubic
Formation energy without anion corrections = 7.9 kcal/mol of atoms
Total DFT energy (no corrections) = -6.315 eV/atom

Quick rundown of D(E_F), same order as above: 25.5, 5.4, 12.3, 17.3, 6.4, 10.6, 3.4, 24.3, 27.9, 6.3, 7.8, 2.3, 3.9, 11.9, 19.3, 7.3, 6.1, 14.6, 4.3, 5.9 states/eV per cell
Quick rundown of calculated volume, same order as above: 16.7, 22.8, 15.0, 15.7, 22.2, 15.8, 15.9, 17.8, 17.8, 15.3, 20.9, 15.4, 17.3, 17.2, 16.4, 18.3, 16.8, 17.4, 16.6, 22.0 Å³/atom